Compound: FeAgIr2
Source: the Alexandria database
Functional: GGA-PBEsol
Structure: relaxed

The structure in extended XYZ format:
```
4
Lattice="1.352 0.781 8.823 -1.352 0.781 8.823 0.000 -1.561 8.823" Properties=species:S:1:pos:R:3 pbc="T T T"
Fe 0.000 0.000 0.000
Ag 0.000 0.000 13.235
Ir 0.000 0.000 6.820
Ir 0.000 0.000 19.650
```

## Properties
Energy relative to the elements   0.44 eV per formula unit
Magnetic moment   0.673 μB per atom
Total DFT energy (no corrections)   -7.8709 eV/atom
Energy relative to the lowest polymorph listed for this composition   0.000 eV/atom
Symmetry   R-3m, No. 166
DOS at the Fermi energy   3.48 states/eV per cell

Compound: LiNi2P2O8
Source: the Alexandria database
Functional: GGA-PBEsol
Structure: relaxed

The structure in extended XYZ format:
```
52
Lattice="9.784 0.000 0.000 0.000 4.864 0.000 0.000 0.000 13.876" Properties=species:S:1:pos:R:3 pbc="T T T"
Li 2.260 0.287 0.000
Li 2.632 0.287 6.938
Li 7.152 4.577 0.000
Li 7.524 4.577 6.938
Ni 0.386 2.738 13.862
Ni 2.271 0.301 3.450
Ni 2.621 0.301 10.388
Ni 4.506 2.738 6.924
Ni 5.278 2.126 13.862
Ni 7.163 4.562 3.450
Ni 7.513 4.562 10.388
Ni 9.398 2.126 6.924
P 0.204 4.512 8.695
P 2.023 2.748 5.196
P 2.869 2.748 12.135
P 4.688 4.512 1.757
P 5.096 0.351 8.695
P 6.915 2.115 5.196
P 7.761 2.115 12.135
P 9.580 0.351 1.757
O 0.052 2.986 8.495
O 0.461 4.785 3.072
O 0.471 4.551 0.513
O 0.509 2.490 5.377
O 1.702 0.055 8.712
O 2.152 2.165 13.394
O 2.339 4.269 5.166
O 2.385 2.107 10.827
O 2.507 2.107 3.888
O 2.553 4.269 12.104
O 2.740 2.165 6.456
O 3.190 0.055 1.774
O 4.383 2.490 12.315
O 4.421 4.551 7.451
O 4.431 4.785 10.010
O 4.840 2.986 1.556
O 4.944 1.878 8.495
O 5.353 0.079 3.072
O 5.363 0.313 0.513
O 5.401 2.374 5.377
O 6.594 4.808 8.712
O 7.044 2.699 13.394
O 7.231 0.595 5.166
O 7.277 2.757 10.827
O 7.399 2.757 3.888
O 7.445 0.595 12.104
O 7.632 2.699 6.456
O 8.082 4.808 1.774
O 9.275 2.374 12.315
O 9.312 0.313 7.451
O 9.323 0.079 10.010
O 9.732 1.878 1.556
```

## Properties
ΔE_f (raw)   -1629.0 meV/atom
Magnetic moment   0.385 μB per atom
Total DFT energy (no corrections)   -6.8489 eV/atom
Energy relative to the lowest polymorph listed for this composition   0.071 eV/atom
Symmetry   Pca2_1, No. 29
DOS at the Fermi energy   21.27 states/eV per cell

Compound: ZnTc2Se
Source: the Alexandria database
Functional: GGA-PBEsol
Structure: relaxed

The structure in extended XYZ format:
```
4
Lattice="1.446 0.835 7.984 -1.446 0.835 7.984 0.000 -1.670 7.984" Properties=species:S:1:pos:R:3 pbc="T T T"
Zn 0.000 0.000 0.000
Tc 0.000 0.000 5.873
Tc 0.000 0.000 18.079
Se 0.000 0.000 11.976
```

## Properties
ΔE_f (raw)   221.2 meV/atom
Magnetic moment   0.000 μB per atom
Total DFT energy (no corrections)   -6.7700 eV/atom
Symmetry   R-3m, No. 166
DOS at the Fermi energy   4.63 states/eV per cell

Compound: YSbAs2
Source: the Alexandria database
Functional: GGA-PBEsol
Structure: relaxed

The structure in extended XYZ format:
```
4
Lattice="-1.950 2.521 4.451 1.950 -2.521 4.451 1.950 2.521 -4.451" Properties=species:S:1:pos:R:3 pbc="T T T"
Y 0.000 0.000 0.000
Sb 0.000 0.000 4.451
As 1.950 0.000 2.422
As 0.000 2.521 2.029
```

## Properties
ΔE_f (raw)   -502.6 meV/atom
Magnetic moment   0.000 μB per atom
Total DFT energy (no corrections)   -5.9007 eV/atom
Symmetry   Immm, No. 71
DOS at the Fermi energy   2.01 states/eV per cell

Compound: Rb2Mg
Source: the Alexandria database
Functional: GGA-PBEsol
Structure: relaxed

The structure in extended XYZ format:
```
6
Lattice="6.777 0.000 0.000 -3.388 5.869 0.000 0.000 0.000 8.469" Properties=species:S:1:pos:R:3 pbc="T T T"
Rb 0.000 0.000 0.000
Rb 0.000 0.000 4.235
Rb 0.000 3.913 2.117
Rb 3.388 1.956 6.352
Mg 0.000 3.913 6.352
Mg 3.388 1.956 2.117
```

## Properties
Energy relative to the elements   0.64 eV per formula unit
Magnetic moment   0.000 μB per atom
Total DFT energy (no corrections)   -1.0424 eV/atom
Energy relative to the lowest polymorph listed for this composition   0.000 eV/atom
Symmetry   P6_3/mmc, No. 194
DOS at the Fermi energy   3.43 states/eV per cell

Compound: KNiTe2
Source: the Alexandria database
Functional: GGA-PBEsol
Structure: relaxed

The structure in extended XYZ format:
```
4
Lattice="3.292 0.000 0.000 0.000 3.439 0.000 0.000 0.000 8.552" Properties=species:S:1:pos:R:3 pbc="T T T"
K 0.000 0.000 0.000
Ni 0.000 0.000 4.276
Te 1.646 1.719 2.669
Te 1.646 1.719 5.883
```

## Properties
ΔE_f (raw)   -47.8 meV/atom
Magnetic moment   0.000 μB per atom
Total DFT energy (no corrections)   -3.6335 eV/atom
Symmetry   Pmmm, No. 47
DOS at the Fermi energy   3.21 states/eV per cell

Compound: SrCu3F
Source: the Alexandria database
Functional: GGA-PBEsol
Structure: relaxed

The structure in extended XYZ format:
```
5
Lattice="4.422 0.000 0.000 0.000 4.422 0.000 0.000 0.000 4.422" Properties=species:S:1:pos:R:3 pbc="T T T"
Sr 0.000 0.000 0.000
Cu 0.000 2.211 2.211
Cu 2.211 0.000 2.211
Cu 2.211 2.211 0.000
F 2.211 2.211 2.211
```

## Properties
ΔE_f (raw)   122.3 meV/atom
Magnetic moment   0.000 μB per atom
Total DFT energy (no corrections)   -3.2318 eV/atom
Symmetry   Pm-3m, No. 221
DOS at the Fermi energy   2.34 states/eV per cell

Compound: Li2FeO2F
Source: the Alexandria database
Functional: GGA-PBEsol
Structure: relaxed

The structure in extended XYZ format:
```
12
Lattice="2.571 -4.275 0.000 2.571 4.275 0.000 -2.015 0.000 4.698" Properties=species:S:1:pos:R:3 pbc="T T T"
Li 1.564 3.575 2.349
Li 0.702 2.127 4.587
Li 1.710 -2.127 2.238
Li 2.571 -3.575 0.000
Fe 1.863 0.873 2.245
Fe 0.855 -0.873 4.594
O 0.955 2.094 1.114
O -0.053 -2.094 3.463
O 3.339 0.595 1.055
O 2.331 -0.595 3.404
F -0.070 0.720 3.358
F 0.937 -0.720 1.009
```

## Properties
ΔE_f (raw)   -1927.9 meV/atom
Magnetic moment   0.673 μB per atom
Total DFT energy (no corrections)   -6.1484 eV/atom
Energy relative to the lowest polymorph listed for this composition   0.125 eV/atom
Symmetry   Cc, No. 9
DOS at the Fermi energy   5.45 states/eV per cell

Compound: Ba2TaP
Source: the Alexandria database
Functional: GGA-PBEsol
Structure: relaxed

The structure in extended XYZ format:
```
4
Lattice="1.799 1.039 10.296 -1.799 1.039 10.296 0.000 -2.078 10.296" Properties=species:S:1:pos:R:3 pbc="T T T"
Ba 0.000 0.000 7.448
Ba 0.000 0.000 23.441
Ta 0.000 0.000 0.000
P 0.000 0.000 15.444
```

## Properties
Energy relative to the elements   3.07 eV per formula unit
Magnetic moment   0.001 μB per atom
Total DFT energy (no corrections)   -4.8917 eV/atom
Symmetry   R-3m, No. 166
DOS at the Fermi energy   6.99 states/eV per cell

Compound: Li5Co4NiO10
Source: the Alexandria database
Functional: GGA-PBEsol
Structure: relaxed

The structure in extended XYZ format:
```
20
Lattice="4.666 -1.404 0.000 4.666 1.404 0.000 -2.639 0.000 12.159" Properties=species:S:1:pos:R:3 pbc="T T T"
Li 0.000 0.000 0.000
Li 0.818 0.000 4.780
Li 1.592 0.000 9.757
Li 5.100 0.000 2.401
Li 5.874 0.000 7.379
Co -0.959 0.000 8.550
Co 2.548 0.000 1.202
Co 4.144 0.000 10.957
Co 7.651 0.000 3.608
Ni 3.346 0.000 6.079
O -1.642 0.000 10.334
O -0.233 0.000 6.806
O 1.862 0.000 2.978
O 0.604 0.000 11.584
O 2.554 0.000 7.992
O 4.138 0.000 4.166
O 6.088 0.000 0.575
O 4.830 0.000 9.181
O 6.925 0.000 5.352
O 8.334 0.000 1.825
```

## Properties
ΔE_f (raw)   -1476.6 meV/atom
Magnetic moment   0.048 μB per atom
Total DFT energy (no corrections)   -6.4482 eV/atom
Symmetry   C2/m, No. 12
DOS at the Fermi energy   5.07 states/eV per cell

Compound: Bi2PtPb2
Source: the Alexandria database
Functional: GGA-PBEsol
Structure: relaxed

The structure in extended XYZ format:
```
5
Lattice="-2.028 2.028 8.664 2.028 -2.028 8.664 2.028 2.028 -8.664" Properties=species:S:1:pos:R:3 pbc="T T T"
Bi 0.000 0.000 1.463
Bi 0.000 0.000 15.864
Pt 0.000 0.000 8.664
Pb 2.028 0.000 4.332
Pb 0.000 2.028 4.332
```

## Properties
Energy relative to the elements   2.30 eV per formula unit
Magnetic moment   0.000 μB per atom
Total DFT energy (no corrections)   -4.2460 eV/atom
Symmetry   I4/mmm, No. 139
DOS at the Fermi energy   3.47 states/eV per cell

Compound: BaMoPdRu2
Source: the Alexandria database
Functional: GGA-PBEsol
Structure: relaxed

The structure in extended XYZ format:
```
5
Lattice="4.904 0.000 0.000 0.000 4.904 0.000 0.000 0.000 4.690" Properties=species:S:1:pos:R:3 pbc="T T T"
Ba 0.000 0.000 0.000
Mo 2.452 2.452 0.000
Pd 2.452 2.452 2.345
Ru 0.000 2.452 2.345
Ru 2.452 0.000 2.345
```

## Properties
Energy relative to the elements   8.18 eV per formula unit
Magnetic moment   0.867 μB per atom
Total DFT energy (no corrections)   -6.4089 eV/atom
Symmetry   P4/mmm, No. 123
DOS at the Fermi energy   8.93 states/eV per cell

Compound: Al2GeBiSe
Source: the Alexandria database
Functional: GGA-PBEsol
Structure: relaxed

The structure in extended XYZ format:
```
5
Lattice="4.860 0.000 0.000 0.000 4.860 0.000 0.000 0.000 5.115" Properties=species:S:1:pos:R:3 pbc="T T T"
Al 0.000 2.430 0.000
Al 2.430 0.000 0.000
Ge 0.000 0.000 0.000
Bi 2.430 2.430 2.558
Se 0.000 0.000 2.558
```

## Properties
ΔE_f (raw)   340.1 meV/atom
Magnetic moment   0.000 μB per atom
Total DFT energy (no corrections)   -3.9115 eV/atom
Symmetry   P4/mmm, No. 123
DOS at the Fermi energy   2.16 states/eV per cell

Compound: PtC2
Source: the Alexandria database
Functional: GGA-PBEsol
Structure: relaxed

The structure in extended XYZ format:
```
6
Lattice="3.142 0.000 0.000 -1.571 2.721 0.000 0.000 0.000 7.265" Properties=species:S:1:pos:R:3 pbc="T T T"
Pt 0.000 0.000 0.000
Pt 0.000 0.000 3.632
C 0.000 1.814 1.135
C 0.000 1.814 2.498
C 1.571 0.907 4.767
C 1.571 0.907 6.130
```

## Properties
Energy relative to the elements   2.95 eV per formula unit
Magnetic moment   0.000 μB per atom
Total DFT energy (no corrections)   -7.7666 eV/atom
Energy relative to the lowest polymorph listed for this composition   0.000 eV/atom
Symmetry   P6_3/mmc, No. 194
DOS at the Fermi energy   2.87 states/eV per cell

Compound: CsBeIrF2
Source: the Alexandria database
Functional: GGA-PBEsol
Structure: relaxed

The structure in extended XYZ format:
```
5
Lattice="3.806 0.000 0.000 0.000 3.806 0.000 0.000 0.000 4.929" Properties=species:S:1:pos:R:3 pbc="T T T"
Cs 0.000 0.000 0.000
Be 1.903 1.903 2.465
Ir 1.903 1.903 0.000
F 0.000 1.903 2.465
F 1.903 0.000 2.465
```

## Properties
ΔE_f (raw)   -703.6 meV/atom
Magnetic moment   0.000 μB per atom
Total DFT energy (no corrections)   -4.4277 eV/atom
Symmetry   P4/mmm, No. 123
DOS at the Fermi energy   1.85 states/eV per cell

Compound: BeCl3
Source: the Alexandria database
Functional: GGA-PBEsol
Structure: relaxed

The structure in extended XYZ format:
```
8
Lattice="5.429 -5.992 0.000 5.429 5.992 0.000 0.000 0.000 2.999" Properties=species:S:1:pos:R:3 pbc="T T T"
Be 5.429 4.198 2.249
Be 5.429 -4.198 0.750
Cl 3.976 4.222 0.750
Cl 6.883 4.222 0.750
Cl 5.429 0.995 0.750
Cl 5.429 -0.995 2.249
Cl 3.976 -4.222 2.249
Cl 6.883 -4.222 2.249
```

## Properties
ΔE_f (raw)   -626.2 meV/atom
Magnetic moment   0.000 μB per atom
Total DFT energy (no corrections)   -3.1321 eV/atom
Energy relative to the lowest polymorph listed for this composition   0.000 eV/atom
Symmetry   Cmcm, No. 63
DOS at the Fermi energy   2.50 states/eV per cell

Compound: Co2PPt
Source: the Alexandria database
Functional: GGA-PBEsol
Structure: relaxed

The structure in extended XYZ format:
```
4
Lattice="-1.489 1.964 4.059 1.489 -1.964 4.059 1.489 1.964 -4.059" Properties=species:S:1:pos:R:3 pbc="T T T"
Co 0.000 0.000 0.000
Co 0.000 1.964 1.638
P 0.000 0.000 4.123
Pt 1.489 0.000 2.275
```

## Properties
Energy relative to the elements   -0.65 eV per formula unit
Magnetic moment   0.486 μB per atom
Total DFT energy (no corrections)   -7.2204 eV/atom
Symmetry   Imm2, No. 44
DOS at the Fermi energy   4.17 states/eV per cell

Compound: CdInSb2O
Source: the Alexandria database
Functional: GGA-PBEsol
Structure: relaxed

The structure in extended XYZ format:
```
5
Lattice="4.683 0.000 0.000 0.000 4.683 0.000 0.000 0.000 4.987" Properties=species:S:1:pos:R:3 pbc="T T T"
Cd 0.000 0.000 0.000
In 2.342 2.342 0.000
Sb 0.000 2.342 2.494
Sb 2.342 0.000 2.494
O 2.342 2.342 2.494
```

## Properties
ΔE_f (raw)   -118.8 meV/atom
Magnetic moment   0.000 μB per atom
Total DFT energy (no corrections)   -3.8276 eV/atom
Symmetry   P4/mmm, No. 123
DOS at the Fermi energy   2.80 states/eV per cell

Compound: LaGa3Fe
Source: the Alexandria database
Functional: GGA-PBEsol
Structure: relaxed

The structure in extended XYZ format:
```
5
Lattice="4.536 0.000 0.000 0.000 4.536 0.000 0.000 0.000 4.536" Properties=species:S:1:pos:R:3 pbc="T T T"
La 0.000 0.000 0.000
Ga 0.000 2.268 2.268
Ga 2.268 0.000 2.268
Ga 2.268 2.268 0.000
Fe 2.268 2.268 2.268
```

## Properties
Energy relative to the elements   -2.46 eV per formula unit
Magnetic moment   0.000 μB per atom
Total DFT energy (no corrections)   -5.3587 eV/atom
Symmetry   Pm-3m, No. 221
DOS at the Fermi energy   1.47 states/eV per cell

Compound: TaAuNF2
Source: the Alexandria database
Functional: GGA-PBEsol
Structure: relaxed

The structure in extended XYZ format:
```
5
Lattice="4.057 0.000 0.000 0.000 4.057 0.000 0.000 0.000 4.045" Properties=species:S:1:pos:R:3 pbc="T T T"
Ta 0.000 0.000 0.000
Au 2.029 2.029 2.023
N 0.000 0.000 2.023
F 0.000 2.029 0.000
F 2.029 0.000 0.000
```

## Properties
ΔE_f (raw)   -1001.3 meV/atom
Magnetic moment   0.000 μB per atom
Total DFT energy (no corrections)   -6.7726 eV/atom
Symmetry   P4/mmm, No. 123
DOS at the Fermi energy   1.90 states/eV per cell